Entry 1:
Computed, not measured: a PBEsol-optimized structure of Rb2YCuI6 at the SCAN level of DFT.

Lattice parameters (Å, degrees): 8.1701 8.1701 8.1701 60.00 60.00 60.00
Sites, in units of the cell vectors:
Rb 0.2500 0.2500 0.2500
Rb 0.7500 0.7500 0.7500
Y 0.0000 0.0000 0.0000
Cu 0.5000 0.5000 0.5000
I 0.2579 0.2579 0.7421
I 0.2579 0.7421 0.2579
I 0.2579 0.7421 0.7421
I 0.7421 0.2579 0.2579
I 0.7421 0.2579 0.7421
I 0.7421 0.7421 0.2579

Results
The calculation puts the uncorrected formation energy at -1.241 eV per atom. As for the space-group type: Fm-3m (225). The calculated density comes out at 4.671 g/cm³.



Entry 2:
Computed, not measured: a PBEsol-optimized structure of CuSbRhI2 at the SCAN level of DFT.

Lattice parameters (Å, degrees): 5.4183 5.4183 4.9016 90.00 90.00 90.00
Sites, in units of the cell vectors:
Cu 0.0000 0.0000 0.0000
Sb 0.5000 0.5000 0.0000
Rh 0.5000 0.5000 0.5000
I 0.0000 0.5000 0.5000
I 0.5000 0.0000 0.5000

Results
The calculation puts the uncorrected formation energy at 0.615 eV per atom. As for the space-group type: P4/mmm (123). The calculated density comes out at 6.255 g/cm³.



Entry 3:
Computed, not measured: a PBEsol-optimized structure of TiCuRh2I at the SCAN level of DFT.

Lattice parameters (Å, degrees): 4.5335 4.5335 4.6690 90.00 90.00 90.00
Sites, in units of the cell vectors:
Ti 0.0000 0.0000 0.0000
Cu 0.0000 0.0000 0.5000
Rh 0.0000 0.5000 0.0000
Rh 0.5000 0.0000 0.0000
I 0.5000 0.5000 0.5000

Results
The calculation puts the uncorrected formation energy at 0.817 eV per atom. As for the space-group type: P4/mmm (123). The calculated density comes out at 7.685 g/cm³.



Entry 4:
Computed, not measured: a PBEsol-optimized structure of Cu2SI2 at the SCAN level of DFT.

Lattice parameters (Å, degrees): 4.0216 5.8582 6.7074 84.38 86.56 72.19
Sites, in units of the cell vectors:
Cu 0.0000 0.0000 0.0000
Cu 0.4199 0.9641 0.6028
S 0.4633 0.1018 0.8877
I 0.3948 0.5910 0.8529
I 0.9077 0.0510 0.3779

Results
The calculation puts the uncorrected formation energy at -0.060 eV per atom. As for the space-group type: P1 (1). The calculated density comes out at 4.582 g/cm³.